## Tm2AlFe (PBE-GGA)

Data for a relaxed Tm2AlFe crystal.

Summary:
E_tot in eV/atom: -4.85
Symmetry: R-3m, No. 166

Unit cell a=3.2195 b=3.2195 c=10.2738 alpha=80.99 beta=80.99 gamma=60.00
With the nearest neighbours (Å) after each atom.
Atoms (fractional coordinates):
Tm: 0.0874 0.0874 0.7377  1 Fe 2.65
Tm: 0.9126 0.9126 0.2623  1 Fe 2.65
Fe: 0.0000 0.0000 0.0000  2 Tm 2.65
Al: 0.5000 0.5000 0.5000  6 Tm 3.04, 6 Al 3.22